First-principles (PBE) data for a relaxed structure of RbMnI2Br, as listed in Alexandria.

The space group is P4/mmm (No. 123) and the conventional cell measures 5.877, 5.877 and 5.321 Å, with angles of 90.00, 90.00 and 90.00 degrees. The distinct sites, in fractional coordinates, are Rb at (0.000, 0.000, 0.000), Mn at (0.500, 0.500, 0.500), I at (0.000, 0.500, 0.500) and Br at (0.500, 0.500, 0.000).

The calculation puts the total energy at -19.5 eV/cell. The energy above the most stable polymorph in this dataset is 0.09 eV per formula unit. The value obtained for the energy relative to the elements, uncorrected is -0.911 eV per atom. The density comes out at 4.28 Mg/m³.